# 1
Density functional theory data (GGA-PBE) for crystalline SrCeTl4 at its relaxed geometry.

```
SrCeTl4
1.0
-3.181 -2.356 0.013
1.749 -2.385 -4.240
4.383 -6.003 5.184
Sr Ce Tl
1 1 4
Cartesian
4.435 -7.761 3.060
3.143 -5.968 -1.634
0.422 -4.958 -3.324
2.692 -9.317 0.064
1.774 -6.588 1.302
-0.489 -5.311 -0.350
```

Calculated values
Calculated density, g/cm3: 9.36
ΔE_f, eV per atom: -0.2389

=====

# 2
Density functional theory data (GGA-PBE) for crystalline Sr3CeTl4 at its relaxed geometry.

```
Sr3CeTl4
1.0
4.033 0.000 0.000
0.000 4.033 0.000
0.000 0.000 16.373
Sr Tl Ce
3 4 1
Cartesian
2.016 2.016 4.026
2.016 2.016 8.187
2.016 2.016 12.347
0.000 0.000 14.478
0.000 0.000 1.895
0.000 0.000 6.121
0.000 0.000 10.253
2.016 2.016 0.000
```

Calculated values
Calculated density, g/cm3: 7.61
ΔE_f, eV per atom: -0.3596

=====

# 3
Density functional theory data (GGA-PBE) for crystalline Sr2CeTl3 at its relaxed geometry.

```
Sr2CeTl3
1.0
-1.907 3.521 0.957
-2.434 0.662 -7.289
-10.537 -8.852 2.715
Sr Ce Tl
4 2 6
Cartesian
-5.379 -1.697 -4.479
-9.499 -2.973 0.862
-13.849 -4.576 -1.911
-1.029 -0.094 -1.705
-9.768 -4.406 -3.259
-5.110 -0.264 -0.358
-10.973 -5.790 -0.567
-3.905 1.120 -3.050
-9.980 -6.060 2.408
-4.898 1.390 -6.024
-8.608 -1.341 -3.368
-6.270 -3.329 -0.249
```

Calculated values
Calculated density, g/cm3: 7.00
ΔE_f, eV per atom: -0.1370

=====

# 4
Density functional theory data (GGA-PBE) for crystalline SrCeTm at its relaxed geometry.

```
SrCeTm
1.0
5.924 0.108 4.227
3.053 5.078 4.227
2.950 1.704 10.106
Sr Tm Ce
2 2 2
Cartesian
4.935 2.851 7.987
5.683 3.283 11.594
8.150 4.708 14.302
2.468 1.426 5.278
8.026 4.636 7.703
8.620 4.980 10.226
```

Calculated values
Calculated density, g/cm3: 6.04
ΔE_f, eV per atom: 0.2774

=====

# 5
Density functional theory data (GGA-PBE) for crystalline SrCe2Tm at its relaxed geometry.

```
SrCe2Tm
1.0
3.501 0.000 0.000
1.750 3.032 0.000
1.750 1.011 12.756
Sr Tm Ce
1 1 2
Cartesian
0.000 0.000 0.000
3.501 2.021 6.378
1.750 1.011 9.256
5.251 3.032 3.501
```

Calculated values
Calculated density, g/cm3: 6.58
ΔE_f, eV per atom: 0.3250

=====

# 6
Density functional theory data (GGA-PBE) for crystalline SrCeTm2 at its relaxed geometry.

```
SrCeTm2
1.0
-3.512 -0.393 0.889
0.796 -3.074 1.787
1.574 5.409 8.605
Sr Tm Ce
1 2 1
Cartesian
-0.571 0.971 5.641
1.239 4.257 6.773
0.335 1.152 1.833
-1.358 -1.734 1.338
```

Calculated values
Calculated density, g/cm3: 6.88
ΔE_f, eV per atom: 0.1554

=====

# 7
Density functional theory data (GGA-PBE) for crystalline SrCeTm2 at its relaxed geometry.

```
SrCeTm2
1.0
-1.781 0.585 -3.006
-1.492 -2.708 -1.730
-11.603 0.906 4.962
Sr Tm Ce
1 2 1
Cartesian
0.000 0.000 0.000
-8.643 0.452 3.120
-6.233 -1.668 -2.895
-7.438 -0.608 0.113
```

Calculated values
Calculated density, g/cm3: 6.92
ΔE_f, eV per atom: 0.2644

=====

# 8
Density functional theory data (GGA-PBE) for crystalline SrCeZn2 at its relaxed geometry.

```
SrCeZn2
1.0
3.883 0.000 0.000
1.941 3.363 0.000
1.941 1.121 9.094
Sr Zn Ce
1 2 1
Cartesian
3.883 2.242 4.547
5.824 3.363 6.940
1.941 1.121 2.153
0.000 0.000 0.000
```

Calculated values
Calculated density, g/cm3: 5.01
ΔE_f, eV per atom: 0.0751

=====

# 9
Density functional theory data (GGA-PBE) for crystalline SrCeZn4 at its relaxed geometry.

```
SrCeZn4
1.0
-5.568 0.248 -0.824
-2.791 -4.561 -1.778
-3.489 -2.709 3.498
Sr Zn Ce
1 4 1
Cartesian
-2.962 -1.755 0.224
-5.658 -3.029 -1.207
-6.011 -2.093 1.460
-7.421 -4.398 0.561
-4.607 -4.523 0.978
0.000 0.000 0.000
```

Calculated values
Calculated density, g/cm3: 6.42
ΔE_f, eV per atom: -0.1695

=====

# 10
Density functional theory data (GGA-PBE) for crystalline SrCe2Zn at its relaxed geometry.

```
SrCe2Zn
1.0
-0.942 -0.099 3.764
3.429 -1.625 0.816
3.556 8.058 1.102
Sr Zn Ce
1 1 2
Cartesian
3.022 3.167 2.841
1.243 -0.862 2.290
2.997 6.791 0.928
0.559 1.267 0.173
```

Calculated values
Calculated density, g/cm3: 5.38
ΔE_f, eV per atom: 0.0756

=====

# 11
Density functional theory data (GGA-PBE) for crystalline SrCe2Zn9 at its relaxed geometry.

```
SrCe2Zn9
1.0
-0.359 4.480 -3.181
-3.540 4.015 1.290
4.949 6.781 4.226
Sr Ce Zn
1 2 9
Cartesian
0.000 0.000 0.000
-1.103 10.263 0.282
2.153 5.014 2.053
-2.557 5.690 -1.227
3.607 9.586 3.563
0.525 7.638 1.168
-0.401 5.203 0.256
-0.583 7.471 -1.355
-2.194 7.236 0.909
1.451 10.074 2.080
3.244 8.040 1.427
1.633 7.805 3.691
```

Calculated values
Calculated density, g/cm3: 6.84
ΔE_f, eV per atom: -0.2259

=====

# 12
Density functional theory data (GGA-PBE) for crystalline SrCe2Zn6 at its relaxed geometry.

```
SrCe2Zn6
1.0
3.463 0.092 -0.148
-0.357 7.018 -3.981
0.345 -0.052 8.069
Sr Ce Zn
1 2 6
Cartesian
3.451 7.058 3.940
0.111 2.305 4.052
3.340 4.753 -0.112
1.728 2.396 1.305
1.724 4.662 2.635
1.603 7.030 1.292
1.840 4.645 5.357
1.611 2.414 -1.417
1.491 7.046 -1.334
```

Calculated values
Calculated density, g/cm3: 6.44
ΔE_f, eV per atom: -0.2360

=====

# 13
Density functional theory data (GGA-PBE) for crystalline SrCeZn2 at its relaxed geometry.

```
SrCeZn2
1.0
-2.413 -1.207 2.608
2.602 -2.365 1.312
2.463 5.348 4.754
Sr Zn Ce
1 2 1
Cartesian
1.326 0.888 4.337
1.922 4.172 3.708
0.542 1.176 1.045
0.094 -1.786 1.960
```

Calculated values
Calculated density, g/cm3: 5.59
ΔE_f, eV per atom: -0.1733

=====

# 14
Density functional theory data (GGA-PBE) for crystalline SrCeZn4 at its relaxed geometry.

```
SrCeZn4
1.0
-1.511 -3.944 -0.811
3.996 -1.576 0.217
-2.142 1.533 7.938
Sr Ce Zn
1 1 4
Cartesian
0.000 0.000 0.000
1.548 -1.401 3.929
-1.061 -2.389 2.189
1.087 -2.971 1.019
-1.350 -2.782 4.641
-0.745 -1.016 6.325
```

Calculated values
Calculated density, g/cm3: 5.64
ΔE_f, eV per atom: -0.1923

=====

# 15
Density functional theory data (GGA-PBE) for crystalline Sr2CeZn6 at its relaxed geometry.

```
Sr2CeZn6
1.0
3.837 0.108 -0.154
-0.354 6.953 -3.944
0.326 -0.052 7.994
Sr Ce Zn
2 1 6
Cartesian
3.936 2.391 3.862
-0.127 4.617 0.034
0.000 0.000 0.000
1.910 2.322 1.255
1.899 4.686 2.641
1.783 6.971 1.344
1.681 4.723 -2.726
2.128 2.286 6.621
2.026 0.037 2.551
```

Calculated values
Calculated density, g/cm3: 5.52
ΔE_f, eV per atom: -0.2186

=====

# 16
Density functional theory data (GGA-PBE) for crystalline SrCe2Zn at its relaxed geometry.

```
SrCe2Zn
1.0
3.499 0.000 0.000
1.750 3.030 0.000
1.750 1.010 11.715
Sr Zn Ce
1 1 2
Cartesian
0.000 0.000 0.000
3.499 2.020 5.857
1.750 1.010 8.181
5.249 3.030 3.534
```

Calculated values
Calculated density, g/cm3: 5.79
ΔE_f, eV per atom: 0.2765

=====

# 17
Density functional theory data (GGA-PBE) for crystalline Ce4Ta at its relaxed geometry.

```
Ce4Ta
1.0
5.500 0.000 0.000
0.000 5.500 0.000
0.000 0.000 5.500
Ce Ta
4 1
Cartesian
0.000 0.000 0.000
2.750 0.000 2.750
0.000 2.750 2.750
2.750 2.750 0.000
2.750 2.750 2.750
```

Calculated values
Calculated density, g/cm3: 7.40
ΔE_f, eV per atom: 0.6415

=====

# 18
Density functional theory data (GGA-PBE) for crystalline CeTa2 at its relaxed geometry.

```
CeTa2
1.0
5.720 0.000 0.000
2.860 4.953 0.000
2.860 1.651 4.670
Ce Ta
2 4
Cartesian
0.000 0.000 0.000
2.860 1.651 1.167
4.290 4.128 2.919
5.720 1.651 2.919
7.149 4.128 2.919
5.720 3.302 0.584
```

Calculated values
Calculated density, g/cm3: 12.60
ΔE_f, eV per atom: 0.2364

=====

# 19
Density functional theory data (GGA-PBE) for crystalline CeTa4 at its relaxed geometry.

```
CeTa4
1.0
4.807 0.000 0.000
0.000 4.807 0.000
0.000 0.000 4.807
Ce Ta
1 4
Cartesian
2.403 2.403 2.403
0.000 0.000 0.000
2.403 0.000 2.403
0.000 2.403 2.403
2.403 2.403 0.000
```

Calculated values
Calculated density, g/cm3: 12.92
ΔE_f, eV per atom: 1.8834

=====

# 20
Density functional theory data (GGA-PBE) for crystalline TbCe2Ta at its relaxed geometry.

```
TbCe2Ta
1.0
3.128 0.000 0.000
1.564 2.709 0.000
1.564 0.903 11.950
Tb Ce Ta
1 2 1
Cartesian
3.128 1.806 5.975
1.564 0.903 9.112
4.692 2.709 2.838
0.000 0.000 0.000
```

Calculated values
Calculated density, g/cm3: 10.17
ΔE_f, eV per atom: 0.4920

=====

# 21
Density functional theory data (GGA-PBE) for crystalline CeTaTc at its relaxed geometry.

```
CeTaTc
1.0
3.179 0.000 0.000
-1.589 2.488 0.000
0.000 0.000 14.473
Tc Ta Ce
2 2 2
Cartesian
1.589 0.968 0.000
0.000 0.968 7.237
1.589 0.968 5.132
1.589 0.968 9.342
0.000 0.968 12.128
0.000 0.968 2.345
```

Calculated values
Calculated density, g/cm3: 12.16
ΔE_f, eV per atom: 0.0874

=====

# 22
Density functional theory data (GGA-PBE) for crystalline CeTaTe3 at its relaxed geometry.

```
CeTaTe3
1.0
3.993 0.000 0.000
-1.997 7.914 0.036
0.000 -0.301 8.943
Ce Ta Te
2 2 6
Cartesian
-0.066 6.806 2.839
1.931 2.200 0.972
-0.066 3.760 5.407
1.930 4.945 7.347
-0.066 1.385 3.458
-0.066 6.481 6.073
1.931 2.223 6.681
1.931 7.620 0.353
-0.066 4.590 0.396
1.931 4.415 3.415
```

Calculated values
Calculated density, g/cm3: 8.27
Energy relative to the elements, uncorrected, eV per atom: -0.83

=====

# 23
Density functional theory data (GGA-PBE) for crystalline CeTa4Te8 at its relaxed geometry.

```
CeTa4Te8
1.0
-0.519 -1.779 -7.414
6.388 -1.605 3.877
-4.611 -5.102 5.486
Ce Ta Te
1 4 8
Cartesian
0.888 -3.354 4.681
0.000 0.000 0.000
-1.937 -7.684 0.010
2.934 -1.692 -1.769
-0.260 -0.890 -3.707
3.428 -3.249 0.540
-2.171 -5.237 1.409
0.205 -2.412 -1.336
-1.984 -4.323 5.115
1.052 -6.075 3.285
1.321 -5.154 7.121
-0.064 -3.333 -5.172
3.241 -4.163 -3.167
```

Calculated values
Calculated density, g/cm3: 8.13
Energy relative to the elements, uncorrected, eV per atom: -0.35

=====

# 24
Density functional theory data (GGA-PBE) for crystalline CeTaTe2 at its relaxed geometry.

```
CeTaTe2
1.0
3.588 0.000 0.000
1.794 3.107 0.000
1.794 1.036 10.239
Te Ce Ta
2 1 1
Cartesian
1.794 1.036 7.009
5.381 3.107 3.230
0.000 0.000 0.000
3.588 2.071 5.120
```

Calculated values
Calculated density, g/cm3: 8.38
Energy relative to the elements, uncorrected, eV per atom: -0.16

=====

# 25
Density functional theory data (GGA-PBE) for crystalline CeThTa4 at its relaxed geometry.

```
CeThTa4
1.0
5.753 0.000 0.000
2.876 4.982 0.000
2.876 1.661 4.697
Ce Th Ta
1 1 4
Cartesian
2.876 1.661 1.174
0.000 0.000 0.000
5.753 3.321 0.591
5.753 1.665 2.934
7.188 4.150 2.934
4.318 4.150 2.934
```

Calculated values
Calculated density, g/cm3: 13.52
ΔE_f, eV per atom: 0.1610

=====

# 26
Density functional theory data (GGA-PBE) for crystalline CeTaTi2 at its relaxed geometry.

```
CeTaTi2
1.0
3.372 0.000 0.000
0.000 3.372 0.000
0.000 0.000 7.092
Ti Ce Ta
2 1 1
Cartesian
0.000 0.000 5.619
0.000 0.000 1.473
1.686 1.686 3.546
1.686 1.686 0.000
```

Calculated values
Calculated density, g/cm3: 8.59
ΔE_f, eV per atom: 0.1469

=====

# 27
Density functional theory data (GGA-PBE) for crystalline CeTaTi2 at its relaxed geometry.

```
CeTaTi2
1.0
2.993 0.000 0.000
1.496 2.592 0.000
1.496 0.864 10.278
Ti Ce Ta
2 1 1
Cartesian
1.496 0.864 2.318
4.489 2.592 7.960
2.993 1.728 5.139
0.000 0.000 0.000
```

Calculated values
Calculated density, g/cm3: 8.68
ΔE_f, eV per atom: 0.2098

=====

no.,spin magnetization (μB per atom)
1,0.20
2,0.17
3,0.23
4,0.28
5,0.46
6,0.00
7,0.08
8,0.36
9,0.06
10,0.56
11,0.09
12,0.27
13,0.20
14,0.27
15,0.11
16,0.46
17,0.70
18,0.00
19,0.00
20,0.00
21,0.00
22,0.13
23,0.07
24,0.45
25,0.00
26,0.01
27,0.00